{"formula": "Li3W5", "functional": "PBE-GGA", "state": "relaxed", "density_g_cm3": 13.33, "polymorph_energy_mev_per_atom": 150, "ef_mev_per_atom": 642, "vol_a3_per_cell": 234.2, "lattice_angstrom": [[-3.439, -3.723, 5.101], [3.380, -1.009, -6.267], [6.175, 2.397, 4.276]], "species": ["W", "W", "W", "W", "W", "W", "W", "W", "W", "W", "Li", "Li", "Li", "Li", "Li", "Li"], "frac_coords": [[0.556, 0.711, 0.319], [0.345, 0.649, 0.828], [0.249, 0.749, 0.496], [0.211, 0.056, 0.319], [0.149, 0.845, 0.828], [0.852, 0.156, 0.172], [0.656, 0.352, 0.172], [0.752, 0.252, 0.504], [0.445, 0.290, 0.682], [0.790, 0.945, 0.682], [0.228, 0.273, 0.000], [0.169, 0.332, 0.500], [0.762, 0.262, 0.858], [0.239, 0.739, 0.142], [0.773, 0.728, 0.000], [0.832, 0.669, 0.500]]}